# 1
Density functional theory data (PBE) for crystalline Sm4AlTc at its relaxed geometry.

Calculated values
ΔE_f, eV per formula unit: -0.77

Lattice parameters (Å, degrees): 7.8393 7.8393 6.2982 99.64 99.64 112.73
With the nearest neighbours (Å) after each atom.
Fractional coordinates of all 12 atoms:
Sm 0.0601 0.7209 0.9547  2 Tc 2.86-2.87
Sm 0.2123 0.3685 0.6028  2 Tc 2.99-3.11, 2 Al 3.17-3.32
Sm 0.2791 0.9399 0.5453  2 Tc 2.86-2.87
Sm 0.3685 0.2123 0.1028  2 Tc 2.99-3.11, 2 Al 3.17-3.32
Sm 0.6315 0.7877 0.8972  2 Tc 2.99-3.11, 2 Al 3.17-3.32
Sm 0.7209 0.0601 0.4547  2 Tc 2.86-2.87
Sm 0.7877 0.6315 0.3972  2 Tc 2.99-3.11, 2 Al 3.17-3.32
Sm 0.9399 0.2791 0.0453  2 Tc 2.86-2.87
Al 0.3765 0.6235 0.2500  8 Sm 3.17-3.32
Al 0.6235 0.3765 0.7500  8 Sm 3.17-3.32
Tc 0.9996 0.0004 0.2500  8 Sm 2.86-3.11, 2 Tc 3.15
Tc 0.0004 0.9996 0.7500  8 Sm 2.86-3.11, 2 Tc 3.15

---

# 2
Density functional theory data (PBE) for crystalline SmAl2Tc at its relaxed geometry.

Calculated values
Energy above the most stable polymorph in this dataset, meV/atom: 0
ΔE_f, eV per formula unit: -1.27

Lattice parameters (Å, degrees): 3.2143 3.2143 7.2821 90.00 90.00 90.00
With the nearest neighbours (Å) after each atom.
Fractional coordinates of all 4 atoms:
Sm 0.0000 0.0000 0.0000  4 Sm 3.21, 8 Al 3.24
Al 0.5000 0.5000 0.3173  4 Tc 2.63, 1 Al 2.66
Al 0.5000 0.5000 0.6827  4 Tc 2.63, 1 Al 2.66
Tc 0.0000 0.0000 0.5000  8 Al 2.63

---

# 3
Density functional theory data (PBE) for crystalline Sm8Al2Tc at its relaxed geometry.

Calculated values
ΔE_f, eV per formula unit: -1.31

Lattice parameters (Å, degrees): 9.1244 9.1244 7.0367 110.47 110.47 34.86
With the nearest neighbours (Å) after each atom.
Fractional coordinates of all 11 atoms:
Sm 0.0107 0.0107 0.2684  2 Tc 3.22, 1 Al 3.27, 6 Sm 3.37-3.58
Sm 0.1974 0.1974 0.7493  3 Al 3.17-3.35, 6 Sm 3.32-3.53
Sm 0.3535 0.3535 0.5849  1 Tc 2.82
Sm 0.3923 0.3923 0.0917  1 Tc 2.80
Sm 0.6077 0.6077 0.9083  1 Tc 2.80
Sm 0.6465 0.6465 0.4151  1 Tc 2.82
Sm 0.8026 0.8026 0.2507  3 Al 3.17-3.35, 6 Sm 3.32-3.53
Sm 0.9893 0.9893 0.7316  2 Tc 3.22, 1 Al 3.27, 6 Sm 3.37-3.58
Al 0.1841 0.1841 0.1867  9 Sm 3.17-3.35
Al 0.8159 0.8159 0.8133  9 Sm 3.17-3.35
Tc 0.5000 0.5000 0.5000  4 Sm 2.80-2.82

---

# 4
Density functional theory data (PBE) for crystalline SmThAlTc at its relaxed geometry.

Calculated values
ΔE_f, eV per formula unit: -0.32

Lattice parameters (Å, degrees): 7.2361 7.2361 7.2361 90.00 90.00 90.00
With the nearest neighbours (Å) after each atom.
Fractional coordinates of all 16 atoms:
Sm 0.0000 0.0000 0.0000  4 Tc 3.13, 4 Al 3.13
Sm 0.0000 0.5000 0.5000  4 Tc 3.13, 4 Al 3.13
Sm 0.5000 0.0000 0.5000  4 Tc 3.13, 4 Al 3.13
Sm 0.5000 0.5000 0.0000  4 Tc 3.13, 4 Al 3.13
Th 0.0000 0.0000 0.5000  4 Al 3.13, 4 Tc 3.13
Th 0.0000 0.5000 0.0000  4 Al 3.13, 4 Tc 3.13
Th 0.5000 0.0000 0.0000  4 Al 3.13, 4 Tc 3.13
Th 0.5000 0.5000 0.5000  4 Al 3.13, 4 Tc 3.13
Al 0.2500 0.2500 0.7500  4 Th 3.13, 4 Sm 3.13
Al 0.2500 0.7500 0.2500  4 Th 3.13, 4 Sm 3.13
Al 0.7500 0.2500 0.2500  4 Th 3.13, 4 Sm 3.13
Al 0.7500 0.7500 0.7500  4 Th 3.13, 4 Sm 3.13
Tc 0.2500 0.2500 0.2500  4 Th 3.13, 4 Sm 3.13
Tc 0.2500 0.7500 0.7500  4 Th 3.13, 4 Sm 3.13
Tc 0.7500 0.2500 0.7500  4 Th 3.13, 4 Sm 3.13
Tc 0.7500 0.7500 0.2500  4 Th 3.13, 4 Sm 3.13

---

# 5
Density functional theory data (PBE) for crystalline Sm6AlTe12 at its relaxed geometry.

Calculated values
Formation energy from raw total energies, meV/atom: -1077.4

Lattice parameters (Å, degrees): 8.8281 8.8281 8.8281 99.20 99.20 99.20
With the nearest neighbours (Å) after each atom.
Fractional coordinates of all 19 atoms:
Sm 0.1301 0.6387 0.3018  7 Te 3.14-3.23
Sm 0.3018 0.1301 0.6387  7 Te 3.14-3.23
Sm 0.3613 0.6982 0.8699  7 Te 3.14-3.23
Sm 0.6387 0.3018 0.1301  7 Te 3.14-3.23
Sm 0.6982 0.8699 0.3613  7 Te 3.14-3.23
Sm 0.8699 0.3613 0.6982  7 Te 3.14-3.23
Al 0.0000 0.0000 0.0000  6 Te 2.81
Te 0.0191 0.6812 0.9479  1 Al 2.81
Te 0.0521 0.9809 0.3188  1 Al 2.81
Te 0.1835 0.4341 0.5700  4 Sm 3.14-3.23
Te 0.3188 0.0521 0.9809  1 Al 2.81
Te 0.4300 0.8165 0.5659  4 Sm 3.14-3.23
Te 0.4341 0.5700 0.1835  4 Sm 3.14-3.23
Te 0.5659 0.4300 0.8165  4 Sm 3.14-3.23
Te 0.5700 0.1835 0.4341  4 Sm 3.14-3.23
Te 0.6812 0.9479 0.0191  1 Al 2.81
Te 0.8165 0.5659 0.4300  4 Sm 3.14-3.23
Te 0.9479 0.0191 0.6812  1 Al 2.81
Te 0.9809 0.3188 0.0521  1 Al 2.81

---

# 6
Density functional theory data (PBE) for crystalline Sm5AlTe4 at its relaxed geometry.

Calculated values
Formation energy from raw total energies, meV/atom: -1200.5

Lattice parameters (Å, degrees): 7.6885 7.6885 7.6885 99.53 99.53 131.98
With the nearest neighbours (Å) after each atom.
Fractional coordinates of all 10 atoms:
Sm 0.0000 0.0000 0.0000  2 Al 3.13, 4 Te 3.15
Sm 0.2136 0.4040 0.6176  1 Al 3.00, 5 Te 3.13-3.23
Sm 0.4040 0.7864 0.1904  1 Al 3.00, 5 Te 3.13-3.23
Sm 0.5960 0.2136 0.8096  1 Al 3.00, 5 Te 3.13-3.23
Sm 0.7864 0.5960 0.3824  1 Al 3.00, 5 Te 3.13-3.23
Al 0.5000 0.5000 0.0000  6 Sm 3.00-3.13
Te 0.0952 0.6974 0.7926  6 Sm 3.13-3.23
Te 0.3026 0.0952 0.3978  6 Sm 3.13-3.23
Te 0.6974 0.9048 0.6022  6 Sm 3.13-3.23
Te 0.9048 0.3026 0.2074  6 Sm 3.13-3.23

---

# 7
Density functional theory data (PBE) for crystalline SmAlTe3 at its relaxed geometry.

Calculated values
Energy above the most stable polymorph in this dataset, meV/atom: 59
Formation energy from raw total energies, meV/atom: -836.1

Lattice parameters (Å, degrees): 7.6195 7.9361 12.4474 90.00 120.58 90.00
With the nearest neighbours (Å) after each atom.
Fractional coordinates of all 20 atoms:
Sm 0.1546 0.1315 0.2192  7 Te 3.12-3.42
Sm 0.1546 0.3685 0.7192  7 Te 3.12-3.42
Sm 0.8454 0.6315 0.2808  7 Te 3.12-3.42
Sm 0.8454 0.8685 0.7808  7 Te 3.12-3.42
Al 0.2757 0.6805 0.1246  4 Te 2.60-2.78
Al 0.2757 0.8195 0.6246  4 Te 2.60-2.78
Al 0.7243 0.1805 0.3754  4 Te 2.60-2.78
Al 0.7243 0.3195 0.8754  4 Te 2.60-2.78
Te 0.0819 0.2000 0.9335  1 Al 2.62
Te 0.0819 0.3000 0.4335  1 Al 2.62
Te 0.2569 0.6703 0.9100  1 Al 2.60
Te 0.2569 0.8297 0.4100  1 Al 2.60
Te 0.4594 0.0472 0.8058  2 Al 2.66-2.78
Te 0.4594 0.4528 0.3058  2 Al 2.66-2.78
Te 0.5406 0.5472 0.6942  2 Al 2.66-2.78
Te 0.5406 0.9528 0.1942  2 Al 2.66-2.78
Te 0.7431 0.1703 0.5900  1 Al 2.60
Te 0.7431 0.3297 0.0900  1 Al 2.60
Te 0.9181 0.7000 0.5665  1 Al 2.62
Te 0.9181 0.8000 0.0665  1 Al 2.62

---

# 8
Density functional theory data (PBE) for crystalline Sm2AlTe5 at its relaxed geometry.

Calculated values
Formation energy from raw total energies, meV/atom: -841.4

Lattice parameters (Å, degrees): 8.0304 8.0304 13.3975 90.00 90.00 134.87
With the nearest neighbours (Å) after each atom.
Fractional coordinates of all 16 atoms:
Sm 0.1674 0.8326 0.5715  6 Te 3.09-3.15
Sm 0.1674 0.8326 0.9285  6 Te 3.09-3.15
Sm 0.8326 0.1674 0.0715  6 Te 3.09-3.15
Sm 0.8326 0.1674 0.4285  6 Te 3.09-3.15
Al 0.1855 0.8145 0.2500  4 Te 2.75-2.85
Al 0.8145 0.1855 0.7500  4 Te 2.75-2.85
Te 0.0375 0.9625 0.1144  1 Al 2.85, 2 Sm 3.09-3.15
Te 0.0375 0.9625 0.3856  1 Al 2.85, 2 Sm 3.09-3.15
Te 0.3010 0.6990 0.7500  2 Al 3.09, 2 Sm 3.11
Te 0.3112 0.6888 0.0996  1 Al 2.75
Te 0.3112 0.6888 0.4004  1 Al 2.75
Te 0.6888 0.3112 0.5996  1 Al 2.75
Te 0.6888 0.3112 0.9004  1 Al 2.75
Te 0.6990 0.3010 0.2500  2 Al 3.09, 2 Sm 3.11
Te 0.9625 0.0375 0.6144  1 Al 2.85, 2 Sm 3.09-3.15
Te 0.9625 0.0375 0.8856  1 Al 2.85, 2 Sm 3.09-3.15

---

# 9
Density functional theory data (PBE) for crystalline Sm3AlTe6 at its relaxed geometry.

Calculated values
Formation energy from raw total energies, meV/atom: -1170.6

Lattice parameters (Å, degrees): 9.7502 9.7502 7.3448 90.00 90.00 102.02
With the nearest neighbours (Å) after each atom.
Fractional coordinates of all 20 atoms:
Sm 0.0956 0.9044 0.5000  7 Te 3.13-3.50
Sm 0.2230 0.4157 0.6130  7 Te 3.10-3.35
Sm 0.4157 0.2230 0.1130  7 Te 3.10-3.35
Sm 0.5843 0.7770 0.6130  7 Te 3.10-3.35
Sm 0.7770 0.5843 0.1130  7 Te 3.10-3.35
Sm 0.9044 0.0956 0.0000  7 Te 3.13-3.50
Al 0.2957 0.7043 0.1486  4 Te 2.64-2.69
Al 0.7043 0.2957 0.6486  4 Te 2.64-2.69
Te 0.0636 0.5977 0.3276  1 Al 2.64
Te 0.1258 0.2008 0.3047  4 Sm 3.10-3.19
Te 0.2008 0.1258 0.8047  4 Sm 3.10-3.19
Te 0.2786 0.7214 0.7905  1 Al 2.64
Te 0.4023 0.9364 0.3276  1 Al 2.64
Te 0.4590 0.5410 0.2915  1 Al 2.69
Te 0.5410 0.4590 0.7915  1 Al 2.69
Te 0.5977 0.0636 0.8276  1 Al 2.64
Te 0.7214 0.2786 0.2905  1 Al 2.64
Te 0.7992 0.8742 0.3047  4 Sm 3.10-3.19
Te 0.8742 0.7992 0.8047  4 Sm 3.10-3.19
Te 0.9364 0.4023 0.8276  1 Al 2.64

---

# 10
Density functional theory data (PBE) for crystalline Sm5Al2Te at its relaxed geometry.

Calculated values
Formation energy from raw total energies, meV/atom: -519.7

Lattice parameters (Å, degrees): 9.0009 9.0009 9.0009 126.38 126.38 79.26
With the nearest neighbours (Å) after each atom.
Fractional coordinates of all 16 atoms:
Sm 0.0000 0.0000 0.0000  4 Al 3.21, 2 Te 3.47
Sm 0.0166 0.5166 0.8278  3 Al 3.13-3.17, 2 Te 3.35, 1 Sm 3.47
Sm 0.1888 0.0166 0.5000  3 Al 3.13-3.17, 2 Te 3.35, 1 Sm 3.47
Sm 0.3112 0.8112 0.8278  3 Al 3.13-3.17, 2 Te 3.35, 1 Sm 3.47
Sm 0.4834 0.3112 0.5000  3 Al 3.13-3.17, 2 Te 3.35, 1 Sm 3.47
Sm 0.5000 0.5000 0.0000  4 Al 3.21, 2 Te 3.47
Sm 0.5166 0.6888 0.5000  3 Al 3.13-3.17, 2 Te 3.35, 1 Sm 3.47
Sm 0.6888 0.1888 0.1722  3 Al 3.13-3.17, 2 Te 3.35, 1 Sm 3.47
Sm 0.8112 0.9834 0.5000  3 Al 3.13-3.17, 2 Te 3.35, 1 Sm 3.47
Sm 0.9834 0.4834 0.1722  3 Al 3.13-3.17, 2 Te 3.35, 1 Sm 3.47
Al 0.1249 0.3751 0.5000  1 Al 2.87, 8 Sm 3.13-3.21
Al 0.3751 0.8751 0.2503  1 Al 2.87, 8 Sm 3.13-3.21
Al 0.6249 0.1249 0.7497  1 Al 2.87, 8 Sm 3.13-3.21
Al 0.8751 0.6249 0.5000  1 Al 2.87, 8 Sm 3.13-3.21
Te 0.2500 0.2500 0.0000  10 Sm 3.35-3.47
Te 0.7500 0.7500 0.0000  10 Sm 3.35-3.47

---

# 11
Density functional theory data (PBE) for crystalline Sm4AlTe3 at its relaxed geometry.

Calculated values
Formation energy from raw total energies, meV/atom: -1132.6

Lattice parameters (Å, degrees): 8.9860 12.5456 4.3674 90.00 90.00 90.00
With the nearest neighbours (Å) after each atom.
Fractional coordinates of all 16 atoms:
Sm 0.0000 0.2399 0.0000  1 Al 3.01, 5 Te 3.14-3.26
Sm 0.0000 0.7601 0.0000  1 Al 3.01, 5 Te 3.14-3.26
Sm 0.2377 0.0000 0.5000  2 Al 3.05, 4 Te 3.14-3.21
Sm 0.2623 0.5000 0.5000  2 Al 3.05, 4 Te 3.14-3.21
Sm 0.5000 0.2601 0.0000  1 Al 3.01, 5 Te 3.14-3.26
Sm 0.5000 0.7399 0.0000  1 Al 3.01, 5 Te 3.14-3.26
Sm 0.7377 0.5000 0.5000  2 Al 3.05, 4 Te 3.14-3.21
Sm 0.7623 0.0000 0.5000  2 Al 3.05, 4 Te 3.14-3.21
Al 0.0000 0.0000 0.0000  6 Sm 3.01-3.05
Al 0.5000 0.5000 0.0000  6 Sm 3.01-3.05
Te 0.0000 0.5000 0.0000  6 Sm 3.21-3.26
Te 0.2500 0.2500 0.5000  6 Sm 3.14
Te 0.2500 0.7500 0.5000  6 Sm 3.14
Te 0.5000 0.0000 0.0000  6 Sm 3.21-3.26
Te 0.7500 0.2500 0.5000  6 Sm 3.14
Te 0.7500 0.7500 0.5000  6 Sm 3.14

---

# 12
Density functional theory data (PBE) for crystalline SmAlTe3 at its relaxed geometry.

Calculated values
Energy above the most stable polymorph in this dataset, meV/atom: 0
Formation energy from raw total energies, meV/atom: -895.6

Lattice parameters (Å, degrees): 7.8437 7.5214 11.1892 90.00 90.00 90.00
With the nearest neighbours (Å) after each atom.
Fractional coordinates of all 20 atoms:
Sm 0.1131 0.0854 0.0000  6 Te 3.10-3.30
Sm 0.3869 0.5854 0.5000  6 Te 3.10-3.30
Sm 0.6131 0.4146 0.0000  6 Te 3.10-3.30
Sm 0.8869 0.9146 0.5000  6 Te 3.10-3.30
Al 0.2125 0.6445 0.1450  4 Te 2.59-2.72
Al 0.2875 0.1445 0.6450  4 Te 2.59-2.72
Al 0.7125 0.8555 0.1450  4 Te 2.59-2.72
Al 0.7875 0.3555 0.6450  4 Te 2.59-2.72
Te 0.0581 0.3119 0.5012  2 Al 2.68-2.72
Te 0.1780 0.8248 0.6860  1 Al 2.59
Te 0.2021 0.8514 0.3322  1 Al 2.61
Te 0.2979 0.3514 0.8322  1 Al 2.61
Te 0.3220 0.3248 0.1860  1 Al 2.59
Te 0.4419 0.8119 0.0012  2 Al 2.68-2.72
Te 0.5581 0.1881 0.5012  2 Al 2.68-2.72
Te 0.6780 0.6752 0.6860  1 Al 2.59
Te 0.7021 0.6486 0.3322  1 Al 2.61
Te 0.7979 0.1486 0.8322  1 Al 2.61
Te 0.8220 0.1752 0.1860  1 Al 2.59
Te 0.9419 0.6881 0.0012  2 Al 2.68-2.72